[1]
## Cr2FeCu (PBE-GGA)

Data for Cr2FeCu after structural relaxation.

Computed properties:
* DFT formation energy: 1.0 eV/f.u.
* polymorph energy (0 for the lowest one): 106 meV/atom
* calculated total energy: -7.7084 eV/atom
* DOS(E_F): 4.592 states/eV/cell

Lattice parameters (Å, degrees): 4.5192 4.5192 2.4441 90.00 90.00 113.71
Element x y z (fractional)
Cu: 0.5000 0.0000 0.5000
Cr: 0.5000 0.5000 0.0000
Cr: 0.0000 0.0000 0.0000
Fe: 0.0000 0.5000 0.5000

[2]
## Tb4Ho2Er2Tm (PBE-GGA)

Data for Tb4Ho2Er2Tm after structural relaxation.

Computed properties:
* DFT formation energy: 0.1 eV/f.u.
* calculated total energy: -4.5803 eV/atom
* DOS(E_F): 11.912 states/eV/cell

Lattice parameters (Å, degrees): 3.5595 9.4097 9.4454 115.29 90.00 100.90
Element x y z (fractional)
Tm: 0.0000 0.0000 0.0000
Ho: 0.1482 0.2965 0.6678
Tb: 0.4815 0.9631 0.6669
Ho: 0.8518 0.7035 0.3322
Er: 0.6666 0.3332 0.9995
Tb: 0.5185 0.0369 0.3331
Er: 0.3334 0.6668 0.0005
Tb: 0.1852 0.3705 0.3326
Tb: 0.8148 0.6295 0.6674

[3]
## PIr3 (PBE-GGA)

Data for PIr3 after structural relaxation.

Computed properties:
* DFT formation energy: 2.1 eV/f.u.
* polymorph energy (0 for the lowest one): 559 meV/atom
* calculated total energy: -7.4643 eV/atom
* DOS(E_F): 6.068 states/eV/cell

Lattice parameters (Å, degrees): 4.9861 4.9861 4.9861 116.49 116.49 116.49
Element x y z (fractional)
P: 0.0000 0.5000 0.5000
Ir: 0.0000 0.0000 0.0000
Ir: 0.5000 0.5000 0.0000
Ir: 0.5000 0.0000 0.5000

[4]
## Sm5YGa6 (PBE-GGA)

Data for Sm5YGa6 after structural relaxation.

Computed properties:
* DFT formation energy: -6.9 eV/f.u.
* calculated total energy: -4.5954 eV/atom
* DOS(E_F): 4.778 states/eV/cell

Lattice parameters (Å, degrees): 5.1403 7.2734 8.1297 90.00 71.68 90.00
Element x y z (fractional)
Ga: 0.5000 0.7521 0.0000
Ga: 0.8350 0.7529 0.3298
Sm: 0.3316 0.5000 0.3366
Y: 0.0000 0.0000 0.0000
Sm: 0.3338 0.0000 0.3323
Sm: 0.0000 0.5000 0.0000
Ga: 0.5000 0.2479 0.0000
Ga: 0.1650 0.2471 0.6702
Ga: 0.8350 0.2471 0.3298
Ga: 0.1650 0.7529 0.6702
Sm: 0.6662 0.0000 0.6677
Sm: 0.6684 0.5000 0.6634

[5]
## AcYTlPd (PBE-GGA)

Data for AcYTlPd after structural relaxation.

Computed properties:
* DFT formation energy: -1.8 eV/f.u.
* calculated total energy: -4.9863 eV/atom
* DOS(E_F): 4.404 states/eV/cell

Lattice parameters (Å, degrees): 5.4269 5.4269 5.4269 60.00 60.00 60.00
Element x y z (fractional)
Pd: 0.2500 0.2500 0.2500
Y: 0.5000 0.5000 0.5000
Tl: 0.7500 0.7500 0.7500
Ac: 0.0000 0.0000 0.0000

[6]
## LiP2Os (PBE-GGA)

Data for LiP2Os after structural relaxation.

Computed properties:
* DFT formation energy: -0.6 eV/f.u.
* polymorph energy (0 for the lowest one): 81 meV/atom
* calculated total energy: -6.1508 eV/atom
* DOS(E_F): 2.203 states/eV/cell

Lattice parameters (Å, degrees): 2.8965 2.8965 6.7988 90.00 90.00 90.00
Element x y z (fractional)
Li: 0.5000 0.5000 0.2500
P: 0.0000 0.0000 0.9705
P: 0.0000 0.0000 0.5295
Os: 0.5000 0.5000 0.7500

Number 1: volume 11.426 A^3/atom. Number 2: volume 31.080 A^3/atom. Number 3: volume 14.715 A^3/atom. Number 4: volume 24.046 A^3/atom. Number 5: volume 28.253 A^3/atom. Number 6: volume 14.260 A^3/atom.